MnSbO2: relaxed, PBE with a Hubbard U. Values from VASP.

Geometry as Quantum ESPRESSO input:
```
&SYSTEM
  ibrav = 0, nat = 4, ntyp = 3
/
ATOMIC_SPECIES
O 16.00 O.upf
Mn 54.94 Mn.upf
Sb 121.76 Sb.upf
CELL_PARAMETERS angstrom
2.064 0.000 6.071
-1.032 1.787 6.071
-1.032 -1.787 6.071
ATOMIC_POSITIONS crystal
O 0.894 0.894 0.894
O 0.106 0.106 0.106
Mn 0.000 0.000 0.000
Sb 0.500 0.500 0.500
```

Summary:
The calculation puts the calculated total energy at -6.19 eV/atom.